Entry 1:
Here is a geometry-optimized K3Ba5 structure from Alexandria via LeMat-Bulk. Energies are from PBE.

**Energy relative to the lowest polymorph listed for this composition**: 0.128 eV/atom
**DFT formation energy**: 0.155 eV per atom

POSCAR file:
```
K3Ba5
1.0
12.227 0.000 0.000
-6.114 10.589 0.000
0.000 0.000 8.351
K Ba
6 10
Direct
0.000 0.407 0.250
0.000 0.593 0.750
0.407 0.000 0.250
0.407 0.407 0.750
0.593 0.000 0.750
0.593 0.593 0.250
0.000 0.230 0.750
0.000 0.770 0.250
0.230 0.000 0.750
0.230 0.230 0.250
0.333 0.667 0.000
0.333 0.667 0.500
0.667 0.333 0.000
0.667 0.333 0.500
0.770 0.000 0.250
0.770 0.770 0.750
```


Entry 2:
Here is a geometry-optimized Dy7Y4Sc structure from Alexandria via LeMat-Bulk. Energies are from PBE.

**Energy relative to the lowest polymorph listed for this composition**: 0.000 eV/atom
**DFT formation energy**: 0.243 eV per atom

POSCAR file:
```
Dy7Y4Sc
1.0
8.183 -2.898 0.000
8.183 2.898 0.000
-4.811 0.000 8.133
Dy Y Sc
7 4 1
Direct
0.000 0.000 0.000
0.209 0.209 0.884
0.330 0.330 0.658
0.439 0.439 0.279
0.561 0.561 0.721
0.670 0.670 0.342
0.791 0.791 0.116
0.089 0.089 0.453
0.239 0.239 0.267
0.761 0.761 0.733
0.911 0.911 0.547
0.500 0.500 0.000
```


Entry 3:
Here is a geometry-optimized ReAuSe2 structure from Alexandria via LeMat-Bulk. Energies are from PBE.

**Energy relative to the lowest polymorph listed for this composition**: 0.143 eV/atom
**Uncorrected formation energy**: 0.256 eV per atom

POSCAR file:
```
ReAuSe2
1.0
-1.465 2.445 5.856
1.465 -2.445 5.856
1.465 2.445 -5.856
Re Au Se
1 1 2
Direct
0.000 0.000 0.000
0.500 0.500 0.000
0.173 0.673 0.500
0.827 0.327 0.500
```


Q: Among the records above, which one has the highest energy relative to the lowest polymorph listed for this composition?
A: ReAuSe2


Q: Which value of energy relative to the lowest polymorph listed for this composition does entry 2 give?
A: 0.000 eV/atom